## UFeAg2O6 (PBE with a Hubbard U)

Data for a geometry-optimized UFeAg2O6 structure.

Properties
DOS at the Fermi energy = 8.72 states/eV/f.u.
total magnetization = 8.80 Bohr magnetons per cell
DFT total energy = -135.61 eV for the cell shown

abc: 9.619 5.840 5.576
angles: 90.00 124.92 90.00
Space group C2/m (No. 12)
One atom of each set of equivalent atoms:
U 0.000 0.000 0.000 [2 per cell]
Fe 0.000 0.500 0.500 [2 per cell]
Ag 0.250 0.000 0.723 [4 per cell]
O 0.059 0.256 0.314 [8 per cell]
O 0.250 0.000 0.138 [4 per cell]